Record 1
Computed, not measured: crystalline PrHfIr at its relaxed geometry at the PBE level of DFT.

POSCAR file:
```
PrHfIr
1.0
4.625 0.000 0.000
0.000 4.625 0.000
0.000 0.000 6.848
Pr Ir Hf
2 2 2
Direct
0.000 0.500 0.870
0.500 0.000 0.130
0.000 0.500 0.299
0.500 0.000 0.701
0.500 0.500 0.500
0.000 0.000 0.500
```

Calculated values
M_tot: 0.0 μB/cell
electronic total energy: -8.56 eV per atom
ΔH_f (0 K): -0.69 eV per atom
theoretical density: 11.60 Mg/m³

***

Record 2
Computed, not measured: crystalline PrHfScIr2 at its relaxed geometry at the PBE level of DFT.

POSCAR file:
```
PrHfScIr2
1.0
-0.990 -3.869 -1.817
3.876 -1.598 1.293
-3.814 1.006 5.234
Pr Hf Sc Ir
1 1 1 2
Direct
0.000 0.000 0.000
0.250 0.750 0.500
0.750 0.250 0.500
0.615 0.615 0.230
0.385 0.385 0.770
```

Calculated values
M_tot: 0.0 μB/cell
electronic total energy: -8.55 eV per atom
ΔH_f (0 K): -0.80 eV per atom
theoretical density: 11.19 Mg/m³

***

Record 3
Computed, not measured: crystalline Pr2HfSi3Ir4 at its relaxed geometry at the PBE level of DFT.

POSCAR file:
```
Pr2HfSi3Ir4
1.0
-1.175 -0.036 -3.994
-3.957 -0.561 1.169
-1.407 10.595 0.319
Pr Hf Si Ir
2 1 3 4
Direct
0.500 0.000 0.237
0.000 0.500 0.763
0.500 0.500 0.500
0.000 0.000 0.500
0.500 0.000 0.879
0.000 0.500 0.121
0.500 0.500 0.000
0.000 0.000 0.000
0.500 0.000 0.648
0.000 0.500 0.352
```

Calculated values
M_tot: 0.0 μB/cell
electronic total energy: -8.11 eV per atom
E_form (uncorrected): -0.99 eV per atom
theoretical density: 11.76 Mg/m³

***

Record 4
Computed, not measured: crystalline PrHfTaIr2 at its relaxed geometry at the PBE level of DFT.

POSCAR file:
```
PrHfTaIr2
1.0
-2.002 3.817 -1.276
-3.632 -2.328 -1.263
0.740 -0.184 6.208
Pr Hf Ta Ir
1 1 1 2
Direct
0.000 0.000 0.000
0.750 0.250 0.500
0.250 0.750 0.500
0.623 0.623 0.246
0.377 0.377 0.754
```

Calculated values
M_tot: 0.0 μB/cell
electronic total energy: -9.58 eV per atom
ΔH_f (0 K): -0.72 eV per atom
theoretical density: 13.50 Mg/m³

***

Record 5
Computed, not measured: crystalline Hf8IrPt2 at its relaxed geometry at the PBE level of DFT.

POSCAR file:
```
Hf8IrPt2
1.0
-3.468 3.665 -0.417
1.356 -1.645 -7.218
-3.610 -5.036 4.272
Hf Ir Pt
8 1 2
Direct
0.908 0.895 0.667
0.908 0.667 0.895
0.316 0.619 0.619
0.500 0.790 0.210
0.500 0.210 0.790
0.684 0.381 0.381
0.092 0.333 0.105
0.092 0.105 0.333
0.500 0.000 0.000
0.000 0.295 0.705
0.000 0.705 0.295
```

Calculated values
M_tot: 0.0 μB/cell
electronic total energy: -9.58 eV per atom
ΔH_f (0 K): -0.43 eV per atom
theoretical density: 14.51 Mg/m³

***

Record 6
Computed, not measured: crystalline HfIrPt2 at its relaxed geometry at the PBE level of DFT.

POSCAR file:
```
HfIrPt2
1.0
3.877 0.000 0.000
0.000 3.877 0.000
1.939 1.939 9.430
Ir Hf Pt
2 2 4
Direct
0.000 0.000 0.000
0.750 0.250 0.500
0.500 0.500 0.000
0.250 0.750 0.500
0.635 0.125 0.250
0.115 0.625 0.250
0.375 0.365 0.750
0.875 0.885 0.750
```

Calculated values
M_tot: 0.0 μB/cell
electronic total energy: -8.18 eV per atom
ΔH_f (0 K): -0.45 eV per atom
theoretical density: 17.82 Mg/m³

***

Record 7
Computed, not measured: crystalline Hf7Ir2Pt2 at its relaxed geometry at the PBE level of DFT.

POSCAR file:
```
Hf7Ir2Pt2
1.0
-1.843 -2.605 -1.255
0.358 -5.645 6.510
-6.803 0.003 5.300
Hf Ir Pt
7 2 2
Direct
0.813 0.075 0.299
0.874 0.380 0.871
0.500 0.016 0.984
0.618 0.493 0.272
0.382 0.728 0.507
0.187 0.701 0.925
0.126 0.129 0.620
0.733 0.857 0.677
0.267 0.323 0.143
0.000 0.774 0.226
0.500 0.376 0.624
```

Calculated values
M_tot: 0.0 μB/cell
energy relative to the lowest polymorph listed for this composition: 0.0 meV/atom
electronic total energy: -9.77 eV per atom
ΔH_f (0 K): -0.73 eV per atom
theoretical density: 15.03 Mg/m³

***

Record 8
Computed, not measured: crystalline Hf2IrPt at its relaxed geometry at the PBE level of DFT.

POSCAR file:
```
Hf2IrPt
1.0
3.282 0.000 0.000
0.000 4.686 0.000
0.000 0.000 4.686
Ir Hf Pt
1 2 1
Direct
0.500 0.500 0.500
0.000 0.000 0.500
0.000 0.500 0.000
0.500 0.000 0.000
```

Calculated values
M_tot: 0.0 μB/cell
electronic total energy: -9.64 eV per atom
ΔH_f (0 K): -0.94 eV per atom
theoretical density: 17.15 Mg/m³

***

Record 9
Computed, not measured: crystalline Hf6IrPt3 at its relaxed geometry at the PBE level of DFT.

POSCAR file:
```
Hf6IrPt3
1.0
7.119 0.000 -0.127
0.000 6.635 0.000
-0.058 0.000 8.818
Hf Ir Pt
12 2 6
Direct
0.662 0.145 0.932
0.675 0.166 0.571
0.730 0.426 0.252
0.270 0.574 0.748
0.325 0.834 0.429
0.338 0.855 0.068
0.162 0.355 0.432
0.175 0.334 0.071
0.230 0.074 0.752
0.770 0.926 0.248
0.825 0.666 0.929
0.838 0.645 0.568
0.500 0.500 0.500
0.000 0.000 0.000
0.551 0.847 0.723
0.500 0.500 0.000
0.449 0.153 0.277
0.051 0.653 0.223
0.000 0.000 0.500
0.949 0.347 0.777
```

Calculated values
M_tot: 0.0 μB/cell
electronic total energy: -9.32 eV per atom
ΔH_f (0 K): -0.65 eV per atom
theoretical density: 14.74 Mg/m³

***

Record 10
Computed, not measured: crystalline Hf2IrPt at its relaxed geometry at the PBE level of DFT.

POSCAR file:
```
Hf2IrPt
1.0
-4.067 2.211 3.457
3.310 -3.508 3.071
2.554 2.848 4.250
Hf Ir Pt
4 2 2
Direct
0.500 0.250 0.750
0.000 0.736 0.764
0.000 0.264 0.236
0.500 0.750 0.250
0.000 0.262 0.762
0.000 0.738 0.238
0.433 0.217 0.283
0.567 0.783 0.717
```

Calculated values
M_tot: 0.0 μB/cell
electronic total energy: -9.66 eV per atom
ΔH_f (0 K): -0.96 eV per atom
theoretical density: 16.93 Mg/m³

***

Record 11
Computed, not measured: crystalline Hf2Ir2Pt at its relaxed geometry at the PBE level of DFT.

POSCAR file:
```
Hf2Ir2Pt
1.0
-2.810 -4.736 -5.133
6.331 0.609 -4.027
1.228 -2.424 1.564
Ir Hf Pt
4 4 2
Direct
0.366 0.866 0.000
0.866 0.634 0.000
0.634 0.134 0.000
0.134 0.366 0.000
0.166 0.666 0.500
0.666 0.834 0.500
0.834 0.334 0.500
0.334 0.166 0.500
0.000 0.000 0.000
0.500 0.500 0.000
```

Calculated values
M_tot: 0.0 μB/cell
energy relative to the lowest polymorph listed for this composition: 0.0 meV/atom
electronic total energy: -9.55 eV per atom
ΔH_f (0 K): -0.82 eV per atom
theoretical density: 17.51 Mg/m³

***

Record 12
Computed, not measured: crystalline Hf6IrPt2 at its relaxed geometry at the PBE level of DFT.

POSCAR file:
```
Hf6IrPt2
1.0
5.654 0.000 0.283
0.000 7.228 0.000
-0.289 0.000 8.999
Hf Ir Pt
12 2 4
Direct
0.828 0.939 0.240
0.841 0.650 0.543
0.858 0.730 0.934
0.642 0.230 0.566
0.659 0.150 0.957
0.672 0.439 0.260
0.172 0.061 0.760
0.159 0.350 0.457
0.142 0.270 0.066
0.358 0.770 0.434
0.341 0.850 0.043
0.328 0.561 0.740
0.500 0.500 0.000
0.000 0.000 0.500
0.894 0.403 0.784
0.606 0.903 0.716
0.394 0.097 0.284
0.106 0.597 0.216
```

Calculated values
M_tot: 0.0 μB/cell
electronic total energy: -9.56 eV per atom
ΔH_f (0 K): -0.60 eV per atom
theoretical density: 14.91 Mg/m³

***

Record 13
Computed, not measured: crystalline Hf2IrPt at its relaxed geometry at the PBE level of DFT.

POSCAR file:
```
Hf2IrPt
1.0
-4.202 -1.963 5.607
5.209 -4.520 2.321
1.650 -1.092 5.576
Ir Hf Pt
2 4 2
Direct
0.500 0.500 0.000
0.250 0.750 0.500
0.617 0.125 0.250
0.133 0.625 0.250
0.375 0.383 0.750
0.875 0.867 0.750
0.000 0.000 0.000
0.750 0.250 0.500
```

Calculated values
M_tot: 0.0 μB/cell
electronic total energy: -9.17 eV per atom
ΔH_f (0 K): -0.47 eV per atom
theoretical density: 15.98 Mg/m³

***

Record 14
Computed, not measured: crystalline Hf4IrPt2 at its relaxed geometry at the PBE level of DFT.

POSCAR file:
```
Hf4IrPt2
1.0
4.941 0.000 0.000
0.000 4.941 0.000
2.470 2.470 6.647
Ir Hf Pt
1 4 2
Direct
0.000 0.000 0.000
0.196 0.196 0.608
0.804 0.804 0.392
0.000 0.500 0.000
0.500 0.000 0.000
0.390 0.390 0.221
0.610 0.610 0.779
```

Calculated values
M_tot: 0.0 μB/cell
electronic total energy: -8.89 eV per atom
ΔH_f (0 K): -0.21 eV per atom
theoretical density: 13.27 Mg/m³

***

Record 15
Computed, not measured: crystalline Hf2IrPt5 at its relaxed geometry at the PBE level of DFT.

POSCAR file:
```
Hf2IrPt5
1.0
-2.005 2.302 -2.579
2.730 -2.485 -4.339
-8.212 -7.884 -0.653
Hf Ir Pt
4 2 10
Direct
0.500 0.243 0.622
0.500 0.757 0.378
0.500 0.257 0.122
0.500 0.743 0.878
0.000 0.000 0.500
0.000 0.500 0.000
0.000 0.000 0.000
0.000 0.500 0.500
0.000 0.497 0.750
0.000 0.503 0.250
0.000 0.003 0.250
0.000 0.997 0.750
0.500 0.250 0.876
0.500 0.750 0.124
0.500 0.250 0.376
0.500 0.750 0.624
```

Calculated values
M_tot: 0.0 μB/cell
electronic total energy: -8.43 eV per atom
ΔH_f (0 K): -1.06 eV per atom
theoretical density: 19.51 Mg/m³

***

Record 16
Computed, not measured: crystalline Hf3IrPt at its relaxed geometry at the PBE level of DFT.

POSCAR file:
```
Hf3IrPt
1.0
4.943 0.000 0.000
0.000 4.943 0.000
0.000 0.000 4.943
Ir Hf Pt
1 3 1
Direct
0.000 0.000 0.000
0.000 0.500 0.000
0.000 0.000 0.500
0.500 0.000 0.000
0.500 0.500 0.500
```

Calculated values
M_tot: 0.0 μB/cell
energy relative to the lowest polymorph listed for this composition: 0.0 meV/atom
electronic total energy: -8.75 eV per atom
ΔH_f (0 K): 0.20 eV per atom
theoretical density: 12.69 Mg/m³

***

Record 17
Computed, not measured: crystalline Hf4IrPt at its relaxed geometry at the PBE level of DFT.

POSCAR file:
```
Hf4IrPt
1.0
6.422 0.000 0.047
0.000 6.421 0.000
-0.047 0.000 6.430
Hf Ir Pt
8 2 2
Direct
0.750 0.750 0.246
0.750 0.250 0.754
0.250 0.250 0.246
0.250 0.750 0.754
0.250 0.250 0.754
0.250 0.750 0.246
0.750 0.750 0.754
0.750 0.250 0.246
0.000 0.000 0.000
0.500 0.500 0.000
0.500 0.000 0.500
0.000 0.500 0.500
```

Calculated values
M_tot: 0.0 μB/cell
electronic total energy: -9.72 eV per atom
ΔH_f (0 K): -0.60 eV per atom
theoretical density: 13.79 Mg/m³

***

Record 18
Computed, not measured: crystalline HfIrPt2 at its relaxed geometry at the PBE level of DFT.

POSCAR file:
```
HfIrPt2
1.0
0.000 3.220 3.220
3.220 0.000 3.220
3.220 3.220 0.000
Ir Hf Pt
1 1 2
Direct
0.500 0.500 0.500
0.000 0.000 0.000
0.250 0.250 0.250
0.750 0.750 0.750
```

Calculated values
M_tot: 0.0 μB/cell
electronic total energy: -8.25 eV per atom
ΔH_f (0 K): -0.53 eV per atom
theoretical density: 18.91 Mg/m³

***

Record 19
Computed, not measured: crystalline Hf5IrPt2 at its relaxed geometry at the PBE level of DFT.

POSCAR file:
```
Hf5IrPt2
1.0
-0.926 4.021 1.695
-5.770 0.078 -3.338
-4.907 -4.660 8.374
Hf Ir Pt
10 2 4
Direct
0.500 0.327 0.094
0.500 0.673 0.906
0.500 0.827 0.406
0.500 0.173 0.594
0.000 0.843 0.717
0.000 0.157 0.283
0.000 0.343 0.783
0.000 0.657 0.217
0.000 0.500 0.500
0.000 0.000 0.000
0.000 0.000 0.500
0.000 0.500 0.000
0.500 0.437 0.342
0.500 0.563 0.658
0.500 0.063 0.842
0.500 0.937 0.158
```

Calculated values
M_tot: 0.0 μB/cell
electronic total energy: -9.61 eV per atom
ΔH_f (0 K): -0.77 eV per atom
theoretical density: 15.30 Mg/m³

***

Record 20
Computed, not measured: crystalline Hf6Ir3Pt at its relaxed geometry at the PBE level of DFT.

POSCAR file:
```
Hf6Ir3Pt
1.0
7.054 0.000 0.037
0.000 6.649 0.000
0.130 0.000 8.776
Hf Ir Pt
12 6 2
Direct
0.664 0.161 0.932
0.660 0.143 0.570
0.727 0.427 0.248
0.273 0.573 0.752
0.340 0.857 0.430
0.336 0.839 0.068
0.164 0.339 0.432
0.160 0.357 0.070
0.227 0.073 0.748
0.773 0.927 0.252
0.840 0.643 0.930
0.836 0.661 0.568
0.544 0.852 0.778
0.500 0.500 0.000
0.456 0.148 0.222
0.044 0.648 0.278
0.000 0.000 0.500
0.956 0.352 0.722
0.500 0.500 0.500
0.000 0.000 0.000
```

Calculated values
M_tot: 0.0 μB/cell
electronic total energy: -9.85 eV per atom
ΔH_f (0 K): -0.62 eV per atom
theoretical density: 14.87 Mg/m³

***

Record 21
Computed, not measured: crystalline Hf2Ir2Pt at its relaxed geometry at the PBE level of DFT.

POSCAR file:
```
Hf2Ir2Pt
1.0
-5.791 3.036 -4.073
-4.726 -0.957 6.007
0.740 2.787 1.026
Ir Hf Pt
4 4 2
Direct
0.136 0.636 0.500
0.636 0.864 0.500
0.864 0.364 0.500
0.364 0.136 0.500
0.340 0.840 0.000
0.840 0.660 0.000
0.660 0.160 0.000
0.160 0.340 0.000
0.000 0.000 0.000
0.500 0.500 0.000
```

Calculated values
M_tot: 0.0 μB/cell
energy relative to the lowest polymorph listed for this composition: 191.0 meV/atom
electronic total energy: -9.36 eV per atom
ΔH_f (0 K): -0.63 eV per atom
theoretical density: 17.13 Mg/m³

***

Record 22
Computed, not measured: crystalline Hf7Ir2Pt2 at its relaxed geometry at the PBE level of DFT.

POSCAR file:
```
Hf7Ir2Pt2
1.0
6.347 -0.003 -0.264
0.003 6.403 0.002
-0.659 -0.002 6.318
Hf Ir Pt
7 2 2
Direct
0.000 0.252 0.500
0.500 0.748 0.000
0.000 0.748 0.500
0.500 0.252 0.000
0.000 0.000 0.000
0.500 0.747 0.500
0.500 0.253 0.500
0.721 0.000 0.279
0.279 0.000 0.721
0.757 0.500 0.757
0.243 0.500 0.243
```

Calculated values
M_tot: 0.0 μB/cell
energy relative to the lowest polymorph listed for this composition: 291.9 meV/atom
electronic total energy: -9.48 eV per atom
ΔH_f (0 K): -0.43 eV per atom
theoretical density: 13.15 Mg/m³